Record 1
# ReC, relaxed, DFT PBE
# ΔH_f (0 K) in eV/atom: 0.6180
# ΔE to the lowest computed polymorph in meV per atom: 378
data_ReC
_chemical_formula_sum 'Re6 C6'
_symmetry_space_group_name_H-M 'P m m n'
_symmetry_Int_Tables_number 59
_cell_length_a 3.539
_cell_length_b 9.633
_cell_length_c 4.556
_cell_angle_alpha 90.00
_cell_angle_beta 90.00
_cell_angle_gamma 90.00
loop_
_symmetry_equiv_pos_as_xyz
'x,y,z'
'-x,-y,-z'
'-x+1/2,-y+1/2,z'
'x+1/2,y+1/2,-z'
'x+1/2,-y,-z'
'-x+1/2,y,z'
'-x,y+1/2,-z'
'x,-y+1/2,z'
loop_
_atom_site_label
_atom_site_type_symbol
_atom_site_fract_x
_atom_site_fract_y
_atom_site_fract_z
Re1 Re 0.250 0.106 0.006
Re2 Re 0.250 0.750 0.468
C1 C 0.250 0.250 0.330
C2 C 0.250 0.580 0.226

---

Record 2
# Li2PuMnTe4, relaxed, DFT PBE
# Raw formation energy in eV per formula unit: -5.7
data_Li2PuMnTe4
_chemical_formula_sum 'Li2 Pu1 Mn1 Te4'
_symmetry_space_group_name_H-M 'P 1 2/m 1'
_symmetry_Int_Tables_number 10
_cell_length_a 7.292
_cell_length_b 4.237
_cell_length_c 7.324
_cell_angle_alpha 90.00
_cell_angle_beta 109.03
_cell_angle_gamma 90.00
loop_
_symmetry_equiv_pos_as_xyz
'x,y,z'
'-x,-y,-z'
'-x,y,-z'
'x,-y,z'
loop_
_atom_site_label
_atom_site_type_symbol
_atom_site_fract_x
_atom_site_fract_y
_atom_site_fract_z
Li1 Li 0.000 0.000 0.000
Li2 Li 0.000 0.500 0.500
Pu1 Pu 0.500 0.000 0.500
Mn1 Mn 0.500 0.500 0.000
Te1 Te 0.245 0.500 0.233
Te2 Te 0.262 0.000 0.775

---

Record 3
# SiAgHg2W, relaxed, DFT PBE
# Raw formation energy in eV per formula unit: 8.2
data_SiAgHg2W
_chemical_formula_sum 'Si1 Ag1 Hg2 W1'
_symmetry_space_group_name_H-M 'P 4/m m m'
_symmetry_Int_Tables_number 123
_symmetry_space_group_name_Hall '-P 4 2'
_cell_length_a 5.232
_cell_length_b 5.232
_cell_length_c 4.699
_cell_angle_alpha 90.00
_cell_angle_beta 90.00
_cell_angle_gamma 90.00
loop_
_atom_site_label
_atom_site_type_symbol
_atom_site_fract_x
_atom_site_fract_y
_atom_site_fract_z
Si1 Si 0.000 0.000 0.000
Ag1 Ag 0.000 0.000 0.500
Hg1 Hg 0.000 0.500 0.500
W1 W 0.500 0.500 0.000

---

Record 4
# KBa2Ga3Au12, relaxed, DFT PBE
# ΔH_f (0 K) in eV/atom: -0.1554
data_KBa2Ga3Au12
_chemical_formula_sum 'K3 Ba6 Ga9 Au36'
_symmetry_space_group_name_H-M 'R -3 m'
_symmetry_Int_Tables_number 166
_symmetry_space_group_name_Hall '-R 3 2"'
_cell_length_a 9.0485
_cell_length_b 9.0485
_cell_length_c 22.7759
_cell_angle_alpha 90.00
_cell_angle_beta 90.00
_cell_angle_gamma 120.00
loop_
_atom_site_label
_atom_site_type_symbol
_atom_site_fract_x
_atom_site_fract_y
_atom_site_fract_z
K1 K 0.0000 0.0000 0.0000
Ba1 Ba 0.0000 0.0000 0.4032
Ga1 Ga 0.0000 0.5000 0.5000
Au1 Au 0.0184 0.5092 0.8380
Au2 Au 0.1045 0.2090 0.7288

---

Record 5
# Fe2TcRu, relaxed, DFT PBE
# ΔH_f (0 K) in eV/atom: 0.1429
# ΔE to the lowest computed polymorph in meV per atom: 48
data_Fe2TcRu
_chemical_formula_sum 'Fe2 Tc1 Ru1'
_symmetry_space_group_name_H-M 'P m m m'
_symmetry_Int_Tables_number 47
_cell_length_a 2.603
_cell_length_b 3.684
_cell_length_c 5.213
_cell_angle_alpha 90.00
_cell_angle_beta 90.00
_cell_angle_gamma 90.00
loop_
_symmetry_equiv_pos_as_xyz
'x,y,z'
'-x,-y,-z'
'-x,-y,z'
'x,y,-z'
'x,-y,-z'
'-x,y,z'
'-x,y,-z'
'x,-y,z'
loop_
_atom_site_label
_atom_site_type_symbol
_atom_site_fract_x
_atom_site_fract_y
_atom_site_fract_z
Fe1 Fe 0.000 0.000 0.245
Tc1 Tc 0.500 0.500 0.500
Ru1 Ru 0.500 0.500 0.000

---

Record 6
# SrErIn2Se4, relaxed, DFT PBE
# Raw formation energy in eV per formula unit: -9.6
data_SrErIn2Se4
_chemical_formula_sum 'Sr1 Er1 In2 Se4'
_symmetry_space_group_name_H-M 'P 1 2/m 1'
_symmetry_Int_Tables_number 10
_cell_length_a 7.574
_cell_length_b 4.222
_cell_length_c 7.597
_cell_angle_alpha 90.00
_cell_angle_beta 108.07
_cell_angle_gamma 90.00
loop_
_symmetry_equiv_pos_as_xyz
'x,y,z'
'-x,-y,-z'
'-x,y,-z'
'x,-y,z'
loop_
_atom_site_label
_atom_site_type_symbol
_atom_site_fract_x
_atom_site_fract_y
_atom_site_fract_z
Sr1 Sr 0.000 0.000 0.000
Er1 Er 0.000 0.500 0.500
In1 In 0.500 0.000 0.500
In2 In 0.500 0.500 0.000
Se1 Se 0.224 0.000 0.715
Se2 Se 0.239 0.500 0.275

---

Record 7
# La2HoAs2I2, relaxed, DFT PBE
# Raw formation energy in eV per formula unit: -8.7
data_La2HoAs2I2
_chemical_formula_sum 'La4 Ho2 As4 I4'
_symmetry_space_group_name_H-M 'I 4/m m m'
_symmetry_Int_Tables_number 139
_symmetry_space_group_name_Hall '-I 4 2'
_cell_length_a 5.417
_cell_length_b 5.417
_cell_length_c 16.651
_cell_angle_alpha 90.00
_cell_angle_beta 90.00
_cell_angle_gamma 90.00
loop_
_atom_site_label
_atom_site_type_symbol
_atom_site_fract_x
_atom_site_fract_y
_atom_site_fract_z
La1 La 0.000 0.000 0.100
Ho1 Ho 0.000 0.000 0.500
As1 As 0.000 0.500 0.000
I1 I 0.000 0.000 0.309

---

Record 8
# Ho2Ga2Ru4C, relaxed, DFT PBE
# ΔH_f (0 K) in eV/atom: -0.1772
data_Ho2Ga2Ru4C
_chemical_formula_sum 'Ho4 Ga4 Ru8 C2'
_symmetry_space_group_name_H-M 'I 4/m m m'
_symmetry_Int_Tables_number 139
_symmetry_space_group_name_Hall '-I 4 2'
_cell_length_a 5.975
_cell_length_b 5.975
_cell_length_c 8.129
_cell_angle_alpha 90.00
_cell_angle_beta 90.00
_cell_angle_gamma 90.00
loop_
_atom_site_label
_atom_site_type_symbol
_atom_site_fract_x
_atom_site_fract_y
_atom_site_fract_z
Ho1 Ho 0.000 0.000 0.213
Ga1 Ga 0.000 0.500 0.250
Ru1 Ru 0.237 0.237 0.500
C1 C 0.000 0.000 0.500

---

Record 9
# TbSmHoTh, relaxed, DFT PBE
# ΔH_f (0 K) in eV/atom: 0.1504
# ΔE to the lowest computed polymorph in meV per atom: 137
data_TbSmHoTh
_chemical_formula_sum 'Tb4 Sm4 Ho4 Th4'
_symmetry_space_group_name_H-M 'F -4 3 m'
_symmetry_Int_Tables_number 216
_symmetry_space_group_name_Hall 'F -4 2 3'
_cell_length_a 8.042
_cell_length_b 8.042
_cell_length_c 8.042
_cell_angle_alpha 90.00
_cell_angle_beta 90.00
_cell_angle_gamma 90.00
loop_
_atom_site_label
_atom_site_type_symbol
_atom_site_fract_x
_atom_site_fract_y
_atom_site_fract_z
Tb1 Tb 0.000 0.000 0.000
Sm1 Sm 0.250 0.250 0.250
Ho1 Ho 0.000 0.000 0.500
Th1 Th 0.250 0.250 0.750

---

Record 10
# PmNbAl4, relaxed, DFT PBE
# ΔH_f (0 K) in eV/atom: -0.3324
data_PmNbAl4
_chemical_formula_sum 'Pm4 Nb4 Al16'
_symmetry_space_group_name_H-M 'F -4 3 m'
_symmetry_Int_Tables_number 216
_symmetry_space_group_name_Hall 'F -4 2 3'
_cell_length_a 7.643
_cell_length_b 7.643
_cell_length_c 7.643
_cell_angle_alpha 90.00
_cell_angle_beta 90.00
_cell_angle_gamma 90.00
loop_
_atom_site_label
_atom_site_type_symbol
_atom_site_fract_x
_atom_site_fract_y
_atom_site_fract_z
Pm1 Pm 0.000 0.000 0.000
Nb1 Nb 0.250 0.250 0.250
Al1 Al 0.124 0.124 0.624

---

Record 11
# LaMgCr4, relaxed, DFT PBE
# ΔH_f (0 K) in eV/atom: 0.5509
data_LaMgCr4
_chemical_formula_sum 'La4 Mg4 Cr16'
_symmetry_space_group_name_H-M 'F -4 3 m'
_symmetry_Int_Tables_number 216
_symmetry_space_group_name_Hall 'F -4 2 3'
_cell_length_a 7.286
_cell_length_b 7.286
_cell_length_c 7.286
_cell_angle_alpha 90.00
_cell_angle_beta 90.00
_cell_angle_gamma 90.00
loop_
_atom_site_label
_atom_site_type_symbol
_atom_site_fract_x
_atom_site_fract_y
_atom_site_fract_z
La1 La 0.000 0.000 0.000
Mg1 Mg 0.250 0.250 0.250
Cr1 Cr 0.126 0.126 0.626

---

Record 12
# Rb2BaH, relaxed, DFT PBE
# ΔE to the lowest computed polymorph in meV per atom: 0
data_Rb2BaH
_chemical_formula_sum 'Rb6 Ba3 H3'
_symmetry_space_group_name_H-M 'R -3 m'
_symmetry_Int_Tables_number 166
_symmetry_space_group_name_Hall '-R 3 2"'
_cell_length_a 4.3405
_cell_length_b 4.3405
_cell_length_c 36.3586
_cell_angle_alpha 90.00
_cell_angle_beta 90.00
_cell_angle_gamma 120.00
loop_
_atom_site_label
_atom_site_type_symbol
_atom_site_fract_x
_atom_site_fract_y
_atom_site_fract_z
Rb1 Rb 0.0000 0.0000 0.1184
Ba1 Ba 0.0000 0.0000 0.0000
H1 H 0.0000 0.0000 0.5000

---

Number 1: density 12.7 Mg/m³, VASP energy -10.218 eV per atom. Number 2: density 6.4 Mg/m³, VASP energy -5.699 eV per atom. Number 3: density 9.3 Mg/m³, VASP energy -2.724 eV per atom. Number 4: density 8.9 Mg/m³, VASP energy -3.119 eV per atom. Number 5: density 10.3 Mg/m³, VASP energy -8.999 eV per atom. Number 6: density 5.8 Mg/m³, VASP energy -4.410 eV per atom. Number 7: density 5.8 Mg/m³, VASP energy -5.079 eV per atom. Number 8: density 10.1 Mg/m³, VASP energy -7.015 eV per atom. Number 9: density 9.0 Mg/m³, VASP energy -5.186 eV per atom. Number 10: density 5.1 Mg/m³, VASP energy -5.298 eV per atom. Number 11: density 6.4 Mg/m³, VASP energy -6.952 eV per atom. Number 12: density 2.6 Mg/m³, VASP energy -1.746 eV per atom.